# 1
# CdCoSn6

A geometry-optimized CdCoSn6 structure (PBE-GGA, the Alexandria database).

abc: 6.5375 6.5374 6.7574
angles: 61.07 61.07 60.00
Fractional coordinates of all 8 atoms:
1 Sn 0.8187 0.9806 0.7592
2 Sn 0.5586 0.1813 0.2409
3 Sn 0.9805 0.4415 0.7591
4 Sn 0.4414 0.8187 0.7591
5 Sn 0.1813 0.0194 0.2408
6 Sn 0.0195 0.5585 0.2409
7 Cd 0.5000 0.5000 0.5000
8 Co 0.0000 0.0000 0.0000

Output
D(E_F): 4.236 states/eV/cell
E_tot: -31.61 eV per cell
total moment: 0.000 μB per cell
SG: No. 148

***

# 2
# Pa4IrSe2S

A geometry-optimized Pa4IrSe2S structure (PBE-GGA, the Alexandria database).

abc: 3.8678 7.1987 7.0538
angles: 71.79 90.00 90.00
Fractional coordinates of all 8 atoms:
1 S 0.0000 0.5000 0.5000
2 Se 0.5000 0.0000 0.5000
3 Se 0.0000 0.0000 0.0000
4 Pa 0.0000 0.7254 0.7569
5 Pa 0.0000 0.2746 0.2431
6 Pa 0.5000 0.7316 0.2619
7 Pa 0.5000 0.2684 0.7381
8 Ir 0.5000 0.5000 0.0000

Output
D(E_F): 13.419 states/eV/cell
formation energy from raw total energies: -1.203 eV/atom
total moment: 0.001 μB per cell
SG: No. 10

***

# 3
# TlIrCl

A geometry-optimized TlIrCl structure (PBE-GGA, the Alexandria database).

abc: 4.5130 4.5130 3.2953
angles: 90.00 90.00 120.00
Fractional coordinates of all 3 atoms:
1 Ir 0.3333 0.6667 0.1663
2 Cl 0.0000 0.0000 0.1669
3 Tl 0.6667 0.3333 0.6667

Output
D(E_F): 1.878 states/eV/cell
offset from the most stable computed form: 151 meV/atom
formation energy from raw total energies: 0.533 eV/atom
total moment: 0.000 μB per cell
SG: No. 187

***

# 4
# Cd2SiMo

A geometry-optimized Cd2SiMo structure (PBE-GGA, the Alexandria database).

abc: 7.5682 7.5682 4.1481
angles: 74.15 74.15 21.37
Fractional coordinates of all 4 atoms:
1 Si 0.7500 0.7500 0.7500
2 Cd 0.5692 0.5692 0.4313
3 Cd 0.9308 0.9308 0.0687
4 Mo 0.2500 0.2500 0.2500

Output
D(E_F): 3.007 states/eV/cell
formation energy from raw total energies: 0.134 eV/atom
total moment: 0.000 μB per cell
SG: No. 71